The following is a DFT calculation (PBE-GGA) of a relaxed UFeOs crystal.

abc: 4.300 4.300 4.300
angles: 60.00 60.00 60.00
Fractional positions:
U (0.000, 0.000, 0.000)
Fe (0.750, 0.750, 0.750)
Os (0.250, 0.250, 0.250)

- raw total energy (eV/atom) = -9.5961
- formation energy from the elements (meV/atom) = 681
- space group = F-43m
- magnetic moment (μB per atom) = 0.006